# ThScSn PBE relaxed
data_ThScSn
_chemical_formula_sum 'Th1 Sc1 Sn1'
_cell_length_a 5.1087
_cell_length_b 5.1087
_cell_length_c 3.6536
_cell_angle_alpha 90.00
_cell_angle_beta 90.00
_cell_angle_gamma 120.00
_space_group_name_H-M_alt 'P 3 m 1'
_space_group_IT_number 156
loop_
_space_group_symop_operation_xyz
'x,y,z'
'-y,x-y,z'
'-x+y,-x,z'
'-y,-x,z'
'-x+y,y,z'
'x,x-y,z'
loop_
_atom_site_label
_atom_site_fract_x
_atom_site_fract_y
_atom_site_fract_z
Th1 0.0000 0.0000 0.0000
Sc1 0.6667 0.3333 0.5008
Sn1 0.3333 0.6667 0.4981
# Formation energy from the elements: -0.27 eV per atom



# CuTe2Pb PBE relaxed
data_CuTe2Pb
_chemical_formula_sum 'Cu3 Te6 Pb3'
_cell_length_a 4.7665
_cell_length_b 4.7665
_cell_length_c 24.3238
_cell_angle_alpha 90.00
_cell_angle_beta 90.00
_cell_angle_gamma 120.00
_space_group_name_H-M_alt 'R -3 m'
_space_group_IT_number 166
_space_group_name_Hall '-R 3 2"'
loop_
_atom_site_label
_atom_site_fract_x
_atom_site_fract_y
_atom_site_fract_z
Cu1 0.0000 0.0000 0.0000
Te1 0.0000 0.0000 0.0994
Pb1 0.0000 0.0000 0.5000
# ΔE_f (raw): 0.3 eV per formula unit



# ThSn3Au3 PBE relaxed
data_ThSn3Au3
_chemical_formula_sum 'Th2 Sn6 Au6'
_cell_length_a 7.434
_cell_length_b 7.434
_cell_length_c 7.434
_cell_angle_alpha 90.00
_cell_angle_beta 90.00
_cell_angle_gamma 90.00
_space_group_name_H-M_alt 'P m -3 n'
_space_group_IT_number 223
_space_group_name_Hall '-P 4n 2 3'
loop_
_atom_site_label
_atom_site_fract_x
_atom_site_fract_y
_atom_site_fract_z
Th1 0.000 0.000 0.000
Sn1 0.000 0.250 0.500
Au1 0.000 0.500 0.250
# Formation energy from the elements: 0.17 eV per atom



# Mn2AgP PBE relaxed
data_Mn2AgP
_chemical_formula_sum 'Mn8 Ag4 P4'
_cell_length_a 6.035
_cell_length_b 6.035
_cell_length_c 6.035
_cell_angle_alpha 90.00
_cell_angle_beta 90.00
_cell_angle_gamma 90.00
_space_group_name_H-M_alt 'F -4 3 m'
_space_group_IT_number 216
_space_group_name_Hall 'F -4 2 3'
loop_
_atom_site_label
_atom_site_fract_x
_atom_site_fract_y
_atom_site_fract_z
Mn1 0.000 0.000 0.000
Mn2 0.250 0.250 0.250
Ag1 0.000 0.000 0.500
P1 0.250 0.250 0.750
# Formation energy from the elements: 0.45 eV per atom



# TlSbC PBE relaxed
data_TlSbC
_chemical_formula_sum 'Tl4 Sb4 C4'
_cell_length_a 11.516
_cell_length_b 5.633
_cell_length_c 6.038
_cell_angle_alpha 90.00
_cell_angle_beta 117.61
_cell_angle_gamma 90.00
_space_group_name_H-M_alt 'C 1 m 1'
_space_group_IT_number 8
loop_
_space_group_symop_operation_xyz
'x,y,z'
'x,-y,z'
'x+1/2,y+1/2,z'
'x+1/2,-y+1/2,z'
loop_
_atom_site_label
_atom_site_fract_x
_atom_site_fract_y
_atom_site_fract_z
Tl1 0.000 0.000 0.000
Tl2 0.135 0.500 0.756
Sb1 0.207 0.500 0.324
Sb2 0.317 0.000 0.467
C1 0.167 0.000 0.829
C2 0.237 0.000 0.719
# Offset from the most stable computed form: 2.117 kcal/mol of atoms
# ΔE_f (raw): 2.1 eV per formula unit



# CaMg2Zn10 PBE relaxed
data_CaMg2Zn10
_chemical_formula_sum 'Ca4 Mg8 Zn40'
_cell_length_a 5.538
_cell_length_b 12.527
_cell_length_c 13.039
_cell_angle_alpha 90.00
_cell_angle_beta 90.00
_cell_angle_gamma 90.00
_space_group_name_H-M_alt 'F m m m'
_space_group_IT_number 69
_space_group_name_Hall '-F 2 2'
loop_
_atom_site_label
_atom_site_fract_x
_atom_site_fract_y
_atom_site_fract_z
Ca1 0.000 0.000 0.000
Mg1 0.250 0.000 0.250
Zn1 0.000 0.109 0.397
Zn2 0.000 0.183 0.172
Zn3 0.250 0.250 0.000
# Formation energy from the elements: -0.10 eV per atom